Entry 1:
{
  "formula": "Pr6P2PtBr3",
  "functional": "PBE-GGA",
  "state": "optimized geometry",
  "total_magnetization_mub_per_fu": 0.00,
  "crystal_system": "monoclinic",
  "formation_energy_uncorrected_ev_per_atom": -1.387,
  "sg": "C2/m",
  "vol_a3_per_fu": 346.0,
  "lattice": [[9.653, -2.069, 0.000], [9.653, 2.069, 0.000], [-2.519, 0.000, 8.660]],
  "species": ["Pr", "Pr", "Pr", "Pr", "Pr", "Pr", "P", "P", "Pt", "Br", "Br", "Br"],
  "fractional_positions": [[0.010, 0.010, 0.221], [0.322, 0.322, 0.442], [0.338, 0.338, 0.885], [0.662, 0.662, 0.115], [0.678, 0.678, 0.558], [0.990, 0.990, 0.779], [0.167, 0.167, 0.336], [0.833, 0.833, 0.664], [0.500, 0.500, 0.000], [0.166, 0.166, 0.829], [0.500, 0.500, 0.500], [0.834, 0.834, 0.171]]
}



Entry 2:
{
  "formula": "Pr8PPt3Br4",
  "functional": "PBE-GGA",
  "state": "optimized geometry",
  "total_magnetization_mub_per_fu": 0.00,
  "crystal_system": "trigonal",
  "formation_energy_uncorrected_ev_per_atom": -1.258,
  "sg": "R-3m",
  "vol_a3_per_fu": 479.8,
  "lattice": [[4.269, 2.465, 7.601], [-4.269, 2.465, 7.601], [0.000, -4.929, 7.601]],
  "species": ["Pr", "Pr", "Pr", "Pr", "Pr", "Pr", "Pr", "Pr", "P", "Pt", "Pt", "Pt", "Br", "Br", "Br", "Br"],
  "fractional_positions": [[0.232, 0.232, 0.232], [0.233, 0.736, 0.736], [0.264, 0.264, 0.767], [0.264, 0.767, 0.264], [0.736, 0.233, 0.736], [0.736, 0.736, 0.233], [0.767, 0.264, 0.264], [0.768, 0.768, 0.768], [0.500, 0.500, 0.500], [0.000, 0.000, 0.500], [0.000, 0.500, 0.000], [0.500, 0.000, 0.000], [0.000, 0.000, 0.000], [0.000, 0.500, 0.500], [0.500, 0.000, 0.500], [0.500, 0.500, 0.000]]
}



Entry 3:
{
  "formula": "Pr6PRh2Br3",
  "functional": "PBE-GGA",
  "state": "optimized geometry",
  "total_magnetization_mub_per_fu": 0.00,
  "crystal_system": "monoclinic",
  "formation_energy_uncorrected_ev_per_atom": -1.155,
  "sg": "C2/m",
  "vol_a3_per_fu": 354.9,
  "lattice": [[3.645, -6.311, 0.000], [3.645, 6.311, 0.000], [-2.406, 0.000, 7.714]],
  "species": ["Pr", "Pr", "Pr", "Pr", "Pr", "Pr", "P", "Rh", "Rh", "Br", "Br", "Br"],
  "fractional_positions": [[0.092, 0.434, 0.801], [0.224, 0.224, 0.199], [0.434, 0.092, 0.801], [0.566, 0.908, 0.199], [0.776, 0.776, 0.801], [0.908, 0.566, 0.199], [0.500, 0.500, 0.000], [0.167, 0.833, 0.000], [0.833, 0.167, 0.000], [0.000, 0.000, 0.500], [0.337, 0.663, 0.500], [0.663, 0.337, 0.500]]
}



Entry 4:
{
  "formula": "Pr8PRh3Br4",
  "functional": "PBE-GGA",
  "state": "optimized geometry",
  "total_magnetization_mub_per_fu": 0.00,
  "crystal_system": "trigonal",
  "formation_energy_uncorrected_ev_per_atom": -1.115,
  "sg": "R-3m",
  "vol_a3_per_fu": 474.1,
  "lattice": [[4.206, 2.428, 7.737], [-4.206, 2.428, 7.737], [0.000, -4.857, 7.737]],
  "species": ["Pr", "Pr", "Pr", "Pr", "Pr", "Pr", "Pr", "Pr", "P", "Rh", "Rh", "Rh", "Br", "Br", "Br", "Br"],
  "fractional_positions": [[0.225, 0.736, 0.736], [0.233, 0.233, 0.233], [0.264, 0.264, 0.775], [0.264, 0.775, 0.264], [0.736, 0.225, 0.736], [0.736, 0.736, 0.225], [0.767, 0.767, 0.767], [0.775, 0.264, 0.264], [0.500, 0.500, 0.500], [0.000, 0.000, 0.500], [0.000, 0.500, 0.000], [0.500, 0.000, 0.000], [0.000, 0.000, 0.000], [0.000, 0.500, 0.500], [0.500, 0.000, 0.500], [0.500, 0.500, 0.000]]
}



Entry 5:
{
  "formula": "Pr8P3RhBr4",
  "functional": "PBE-GGA",
  "state": "optimized geometry",
  "total_magnetization_mub_per_fu": 0.00,
  "crystal_system": "trigonal",
  "formation_energy_uncorrected_ev_per_atom": -1.354,
  "sg": "R-3m",
  "vol_a3_per_fu": 454.2,
  "lattice": [[4.219, 2.436, 7.367], [-4.219, 2.436, 7.367], [0.000, -4.871, 7.367]],
  "species": ["Pr", "Pr", "Pr", "Pr", "Pr", "Pr", "Pr", "Pr", "P", "P", "P", "Rh", "Br", "Br", "Br", "Br"],
  "fractional_positions": [[0.235, 0.235, 0.235], [0.238, 0.733, 0.733], [0.267, 0.267, 0.762], [0.267, 0.762, 0.267], [0.733, 0.238, 0.733], [0.733, 0.733, 0.238], [0.762, 0.267, 0.267], [0.765, 0.765, 0.765], [0.000, 0.000, 0.500], [0.000, 0.500, 0.000], [0.500, 0.000, 0.000], [0.500, 0.500, 0.500], [0.000, 0.000, 0.000], [0.000, 0.500, 0.500], [0.500, 0.000, 0.500], [0.500, 0.500, 0.000]]
}



Entry 6:
{
  "formula": "Pr8P3RuBr4",
  "functional": "PBE-GGA",
  "state": "optimized geometry",
  "total_magnetization_mub_per_fu": 0.00,
  "crystal_system": "trigonal",
  "formation_energy_uncorrected_ev_per_atom": -1.300,
  "sg": "R-3m",
  "vol_a3_per_fu": 456.6,
  "lattice": [[4.220, 2.436, 7.403], [-4.220, 2.436, 7.403], [0.000, -4.872, 7.403]],
  "species": ["Pr", "Pr", "Pr", "Pr", "Pr", "Pr", "Pr", "Pr", "P", "P", "P", "Ru", "Br", "Br", "Br", "Br"],
  "fractional_positions": [[0.235, 0.235, 0.235], [0.240, 0.730, 0.730], [0.270, 0.270, 0.760], [0.270, 0.760, 0.270], [0.730, 0.240, 0.730], [0.730, 0.730, 0.240], [0.760, 0.270, 0.270], [0.765, 0.765, 0.765], [0.000, 0.000, 0.500], [0.000, 0.500, 0.000], [0.500, 0.000, 0.000], [0.500, 0.500, 0.500], [0.000, 0.000, 0.000], [0.000, 0.500, 0.500], [0.500, 0.000, 0.500], [0.500, 0.500, 0.000]]
}



Entry 7:
{
  "formula": "Pr6P2SBr3",
  "functional": "PBE-GGA",
  "state": "optimized geometry",
  "total_magnetization_mub_per_fu": 0.00,
  "crystal_system": "monoclinic",
  "formation_energy_uncorrected_ev_per_atom": -1.548,
  "sg": "C2/m",
  "vol_a3_per_fu": 334.0,
  "lattice": [[3.623, -6.277, 0.000], [3.623, 6.277, 0.000], [-2.417, 0.000, 7.343]],
  "species": ["Pr", "Pr", "Pr", "Pr", "Pr", "Pr", "P", "P", "S", "Br", "Br", "Br"],
  "fractional_positions": [[0.066, 0.400, 0.200], [0.266, 0.266, 0.799], [0.400, 0.066, 0.200], [0.600, 0.934, 0.800], [0.734, 0.734, 0.201], [0.934, 0.600, 0.800], [0.334, 0.666, 0.000], [0.666, 0.334, 0.000], [0.000, 0.000, 0.000], [0.169, 0.831, 0.500], [0.500, 0.500, 0.500], [0.831, 0.169, 0.500]]
}



Entry 8:
{
  "formula": "Pr4PS2Br",
  "functional": "PBE-GGA",
  "state": "optimized geometry",
  "total_magnetization_mub_per_fu": 0.00,
  "crystal_system": "monoclinic",
  "formation_energy_uncorrected_ev_per_atom": -1.729,
  "sg": "P2/m",
  "vol_a3_per_fu": 208.5,
  "lattice": [[7.206, 0.000, 0.000], [0.000, 4.173, 0.000], [-2.424, 0.000, 6.933]],
  "species": ["Pr", "Pr", "Pr", "Pr", "P", "S", "S", "Br"],
  "fractional_positions": [[0.224, 0.000, 0.217], [0.242, 0.500, 0.772], [0.758, 0.500, 0.228], [0.776, 0.000, 0.783], [0.500, 0.000, 0.000], [0.000, 0.000, 0.500], [0.000, 0.500, 0.000], [0.500, 0.500, 0.500]]
}



Entry 9:
{
  "formula": "Pr6SbP2Br3",
  "functional": "PBE-GGA",
  "state": "optimized geometry",
  "total_magnetization_mub_per_fu": 0.00,
  "crystal_system": "monoclinic",
  "formation_energy_uncorrected_ev_per_atom": -1.393,
  "sg": "C2/m",
  "vol_a3_per_fu": 355.9,
  "lattice": [[9.641, -2.144, 0.000], [9.641, 2.144, 0.000], [-2.289, 0.000, 8.608]],
  "species": ["Pr", "Pr", "Pr", "Pr", "Pr", "Pr", "Sb", "P", "P", "Br", "Br", "Br"],
  "fractional_positions": [[0.019, 0.019, 0.254], [0.323, 0.323, 0.443], [0.333, 0.333, 0.875], [0.667, 0.667, 0.125], [0.677, 0.677, 0.557], [0.981, 0.981, 0.746], [0.500, 0.500, 0.000], [0.171, 0.171, 0.339], [0.829, 0.829, 0.661], [0.164, 0.164, 0.833], [0.500, 0.500, 0.500], [0.836, 0.836, 0.167]]
}



Entry 10:
{
  "formula": "Pr6Sb3P2Br",
  "functional": "PBE-GGA",
  "state": "optimized geometry",
  "total_magnetization_mub_per_fu": 0.00,
  "crystal_system": "monoclinic",
  "formation_energy_uncorrected_ev_per_atom": -1.323,
  "sg": "C2/m",
  "vol_a3_per_fu": 363.8,
  "lattice": [[9.592, -2.195, 0.000], [9.592, 2.195, 0.000], [-1.924, 0.000, 8.642]],
  "species": ["Pr", "Pr", "Pr", "Pr", "Pr", "Pr", "Sb", "Sb", "Sb", "P", "P", "Br"],
  "fractional_positions": [[0.012, 0.012, 0.264], [0.326, 0.326, 0.892], [0.328, 0.328, 0.428], [0.672, 0.672, 0.572], [0.674, 0.674, 0.108], [0.988, 0.988, 0.736], [0.160, 0.160, 0.836], [0.500, 0.500, 0.500], [0.840, 0.840, 0.164], [0.169, 0.169, 0.335], [0.831, 0.831, 0.665], [0.500, 0.500, 0.000]]
}



Entry 11:
{
  "formula": "Pr3SbPBr",
  "functional": "PBE-GGA",
  "state": "optimized geometry",
  "total_magnetization_mub_per_fu": 0.00,
  "crystal_system": "monoclinic",
  "formation_energy_uncorrected_ev_per_atom": -1.311,
  "sg": "P2_1/m",
  "vol_a3_per_fu": 180.1,
  "lattice": [[7.511, 0.000, 0.000], [0.000, 4.251, 0.000], [-2.475, 0.000, 11.277]],
  "species": ["Pr", "Pr", "Pr", "Pr", "Pr", "Pr", "Sb", "Sb", "P", "P", "Br", "Br"],
  "fractional_positions": [[0.044, 0.250, 0.142], [0.288, 0.250, 0.495], [0.453, 0.750, 0.851], [0.547, 0.250, 0.149], [0.712, 0.750, 0.505], [0.956, 0.750, 0.858], [0.345, 0.750, 0.300], [0.655, 0.250, 0.700], [0.234, 0.250, 0.943], [0.766, 0.750, 0.057], [0.122, 0.750, 0.634], [0.878, 0.250, 0.366]]
}



Entry 12:
{
  "formula": "Pr6P2SeBr3",
  "functional": "PBE-GGA",
  "state": "optimized geometry",
  "total_magnetization_mub_per_fu": 0.00,
  "crystal_system": "monoclinic",
  "formation_energy_uncorrected_ev_per_atom": -1.500,
  "sg": "C2/m",
  "vol_a3_per_fu": 340.9,
  "lattice": [[9.511, -2.133, 0.000], [9.511, 2.133, 0.000], [-2.408, 0.000, 8.402]],
  "species": ["Pr", "Pr", "Pr", "Pr", "Pr", "Pr", "P", "P", "Se", "Br", "Br", "Br"],
  "fractional_positions": [[0.014, 0.014, 0.233], [0.323, 0.323, 0.443], [0.340, 0.340, 0.883], [0.660, 0.660, 0.117], [0.677, 0.677, 0.557], [0.986, 0.986, 0.767], [0.168, 0.168, 0.335], [0.832, 0.832, 0.665], [0.500, 0.500, 0.000], [0.166, 0.166, 0.833], [0.500, 0.500, 0.500], [0.834, 0.834, 0.167]]
}